Material: LuBeGeIr
Method: DFT, PBE
State: optimized geometry

The structure in POSCAR format:
```
LuBeGeIr
1.0
0.000 3.121 3.121
3.121 0.000 3.121
3.121 3.121 0.000
Lu Be Ge Ir
1 1 1 1
Direct
0.000 0.000 0.000
0.750 0.750 0.750
0.250 0.250 0.250
0.500 0.500 0.500
```

Crystal system: cubic
Energy relative to the lowest polymorph listed for this composition, meV per atom: 0
VASP energy, eV per atom: -5.85

=====

Material: LuBeGeIr
Method: DFT, PBE
State: optimized geometry

The structure in POSCAR format:
```
LuBeGeIr
1.0
0.000 3.154 3.154
3.154 0.000 3.154
3.154 3.154 0.000
Lu Be Ge Ir
1 1 1 1
Direct
0.000 0.000 0.000
0.750 0.750 0.750
0.500 0.500 0.500
0.250 0.250 0.250
```

Crystal system: cubic
Energy relative to the lowest polymorph listed for this composition, meV per atom: 171
VASP energy, eV per atom: -5.68

=====

Material: ScBeGeIr
Method: DFT, PBE
State: optimized geometry

The structure in POSCAR format:
```
ScBeGeIr
1.0
0.000 3.055 3.055
3.055 0.000 3.055
3.055 3.055 0.000
Sc Be Ge Ir
1 1 1 1
Direct
0.000 0.000 0.000
0.750 0.750 0.750
0.250 0.250 0.250
0.500 0.500 0.500
```

Crystal system: cubic
Energy relative to the lowest polymorph listed for this composition, meV per atom: 0
VASP energy, eV per atom: -6.39

=====

Material: ScBeGeIr
Method: DFT, PBE
State: optimized geometry

The structure in POSCAR format:
```
ScBeGeIr
1.0
0.000 3.099 3.099
3.099 0.000 3.099
3.099 3.099 0.000
Sc Be Ge Ir
1 1 1 1
Direct
0.000 0.000 0.000
0.500 0.500 0.500
0.750 0.750 0.750
0.250 0.250 0.250
```

Crystal system: cubic
Energy relative to the lowest polymorph listed for this composition, meV per atom: 209
VASP energy, eV per atom: -6.18

=====

Material: ScBeGeIr
Method: DFT, PBE
State: optimized geometry

The structure in POSCAR format:
```
ScBeGeIr
1.0
0.000 3.079 3.079
3.079 0.000 3.079
3.079 3.079 0.000
Sc Be Ge Ir
1 1 1 1
Direct
0.000 0.000 0.000
0.750 0.750 0.750
0.500 0.500 0.500
0.250 0.250 0.250
```

Crystal system: cubic
Energy relative to the lowest polymorph listed for this composition, meV per atom: 146
VASP energy, eV per atom: -6.24

=====

Material: YBeGeIr
Method: DFT, PBE
State: optimized geometry

The structure in POSCAR format:
```
YBeGeIr
1.0
0.000 3.240 3.240
3.240 0.000 3.240
3.240 3.240 0.000
Y Be Ge Ir
1 1 1 1
Direct
0.000 0.000 0.000
0.500 0.500 0.500
0.750 0.750 0.750
0.250 0.250 0.250
```

Crystal system: cubic
Energy relative to the lowest polymorph listed for this composition, meV per atom: 266
VASP energy, eV per atom: -6.03